(1)
Here is a relaxed structure of Na3NpAg2O6 from the Alexandria database. Energies are from PBE.

a b c (Å): 5.844 5.844 6.040
angles (deg): 102.53 102.53 116.12
Positions (direct):
Na 0.175 0.825 0.500
Na 0.825 0.175 0.500
Na 0.500 0.500 0.500
Np 0.000 0.000 0.000
Ag 0.330 0.670 0.000
Ag 0.670 0.330 0.000
O 0.934 0.651 0.754
O 0.792 0.792 0.192
O 0.066 0.349 0.246
O 0.651 0.934 0.754
O 0.208 0.208 0.808
O 0.349 0.066 0.246

Calculated values
crystal system	monoclinic
energy relative to the elements, uncorrected	-1.6203	eV per atom
spin magnetization	0.000	μB/atom

---

(2)
Here is a relaxed structure of Li2AcZnAu5 from the Alexandria database. Energies are from PBE.

a b c (Å): 4.907 4.907 7.388
angles (deg): 90.00 90.00 90.00
Positions (direct):
Li 0.500 0.500 0.160
Li 0.500 0.500 0.840
Ac 0.000 0.000 0.500
Zn 0.000 0.000 0.000
Au 0.000 0.500 0.197
Au 0.500 0.000 0.197
Au 0.000 0.500 0.803
Au 0.500 0.000 0.803
Au 0.500 0.500 0.500

Calculated values
crystal system	tetragonal
calculated formation energy	-0.42	eV/atom
spin magnetization	0.000	μB/atom

---

(3)
Here is a relaxed structure of CuMoPb2 from the Alexandria database. Energies are from PBE.

a b c (Å): 5.779 5.779 5.038
angles (deg): 74.35 74.35 31.07
Positions (direct):
Cu 0.536 0.536 0.522
Mo 0.222 0.222 0.220
Pb 0.979 0.979 0.065
Pb 0.764 0.764 0.694

Calculated values
crystal system	monoclinic
calculated formation energy	0.58	eV/atom
spin magnetization	0.000	μB/atom

---

(4)
Here is a relaxed structure of Ce6AsBr8 from the Alexandria database. Energies are from PBE.

a b c (Å): 7.259 7.259 11.390
angles (deg): 71.42 71.42 60.00
Site moments in Bohr magnetons follow the coordinates.
Positions (direct):
Ce 0.948 0.619 0.157  0.92
Ce 0.723 0.052 0.843  0.92
Ce 0.381 0.723 0.843  0.92
Ce 0.619 0.277 0.157  0.92
Ce 0.277 0.948 0.157  0.92
Ce 0.052 0.381 0.843  0.92
As 0.000 0.000 0.000  -0.03
Br 0.778 0.442 0.670  -0.01
Br 0.890 0.222 0.330  -0.01
Br 0.558 0.890 0.330  -0.01
Br 0.333 0.333 0.000  -0.01
Br 0.667 0.667 0.000  -0.01
Br 0.442 0.110 0.670  -0.01
Br 0.110 0.778 0.670  -0.01
Br 0.222 0.558 0.330  -0.01

Calculated values
crystal system	trigonal
energy relative to the elements, uncorrected	-1.4972	eV per atom
spin magnetization	0.419	μB/atom

---

(5)
Here is a relaxed structure of LiSmHo2 from the Alexandria database. Energies are from PBE.

a b c (Å): 3.691 5.644 5.644
angles (deg): 90.00 90.00 90.00
Positions (direct):
Ho 0.000 0.000 0.500
Ho 0.000 0.500 0.000
Sm 0.500 0.500 0.500
Li 0.500 0.000 0.000

Calculated values
crystal system	tetragonal
calculated formation energy	0.18	eV/atom
spin magnetization	0.000	μB/atom

---

(6)
Here is a relaxed structure of TcPt2W from the Alexandria database. Energies are from PBE.

a b c (Å): 3.408 3.408 5.412
angles (deg): 90.00 90.00 90.00
Positions (direct):
Pt 0.000 0.000 0.000
Pt 0.000 0.000 0.500
Tc 0.500 0.500 0.250
W 0.500 0.500 0.750

Calculated values
crystal system	tetragonal
calculated formation energy	0.08	eV/atom
spin magnetization	0.000	μB/atom

---

(7)
Here is a relaxed structure of La2YAl from the Alexandria database. Energies are from PBE.

a b c (Å): 6.867 6.867 5.226
angles (deg): 67.67 67.67 32.95
Positions (direct):
Y 0.750 0.750 0.750
Al 0.250 0.250 0.250
La 0.961 0.961 0.039
La 0.539 0.539 0.461

Calculated values
crystal system	orthorhombic
calculated formation energy	-0.14	eV/atom
spin magnetization	0.000	μB/atom

---

(8)
Here is a relaxed structure of AcY12Er7 from the Alexandria database. Energies are from PBE.

a b c (Å): 8.749 8.749 8.749
angles (deg): 88.01 88.01 88.01
Positions (direct):
Ac 0.000 0.000 0.000
Y 0.857 0.279 0.729
Y 0.721 0.271 0.143
Y 0.620 0.140 0.498
Y 0.860 0.502 0.380
Y 0.271 0.143 0.721
Y 0.502 0.380 0.860
Y 0.498 0.620 0.140
Y 0.729 0.857 0.279
Y 0.140 0.498 0.620
Y 0.380 0.860 0.502
Y 0.279 0.729 0.857
Y 0.143 0.721 0.271
Er 0.846 0.611 0.942
Er 0.389 0.058 0.154
Er 0.058 0.154 0.389
Er 0.500 0.500 0.500
Er 0.942 0.846 0.611
Er 0.611 0.942 0.846
Er 0.154 0.389 0.058

Calculated values
crystal system	trigonal
calculated formation energy	0.25	eV/atom
spin magnetization	0.001	μB/atom

---

(9)
Here is a relaxed structure of LiCe2NpAs4 from the Alexandria database. Energies are from PBE.

a b c (Å): 4.201 7.174 7.063
angles (deg): 109.68 90.00 90.00
Site moments in Bohr magnetons follow the coordinates.
Positions (direct):
Li 0.500 0.500 0.000  0.00
Ce 0.500 0.000 0.500  0.17
Ce 0.000 0.500 0.500  0.45
Np 0.000 0.000 0.000  3.56
As 0.500 0.245 0.244  -0.07
As 0.500 0.755 0.756  -0.07
As 0.000 0.244 0.751  -0.07
As 0.000 0.756 0.249  -0.07

Calculated values
crystal system	monoclinic
calculated formation energy	-0.93	eV/atom
spin magnetization	0.516	μB/atom

---

(10)
Here is a relaxed structure of Pm3Ga3Hg2 from the Alexandria database. Energies are from PBE.

a b c (Å): 4.569 6.072 15.047
angles (deg): 90.00 90.00 112.10
Site moments in Bohr magnetons follow the coordinates.
Positions (direct):
Pm 0.920 0.839 0.387  0.06
Pm 0.080 0.161 0.887  0.06
Pm 0.920 0.839 0.113  0.06
Pm 0.080 0.161 0.613  0.06
Pm 0.647 0.295 0.250  0.09
Pm 0.353 0.705 0.750  0.09
Ga 0.599 0.198 0.456  0.00
Ga 0.401 0.802 0.956  0.00
Ga 0.599 0.198 0.044  0.00
Ga 0.401 0.802 0.544  0.00
Ga 0.364 0.727 0.250  0.00
Ga 0.636 0.273 0.750  0.00
Hg 0.786 0.573 0.904  0.00
Hg 0.214 0.427 0.404  0.00
Hg 0.786 0.573 0.596  0.00
Hg 0.214 0.427 0.096  0.00

Calculated values
crystal system	orthorhombic
calculated formation energy	-0.55	eV/atom
spin magnetization	0.060	μB/atom

---

(11)
Here is a relaxed structure of TaGeH from the Alexandria database. Energies are from PBE.

a b c (Å): 3.572 3.467 3.467
angles (deg): 120.00 90.00 90.00
Positions (direct):
H 0.165 0.000 0.000
Ge 0.667 0.333 0.667
Ta 0.167 0.667 0.333

Calculated values
crystal system	trigonal
DFT total energy	-6.835	eV per atom
spin magnetization	0.000	μB/atom

---

(12)
Here is a relaxed structure of AgAu3 from the Alexandria database. Energies are from PBE.

a b c (Å): 2.944 2.944 9.622
angles (deg): 90.00 90.00 120.00
Positions (direct):
Au 0.000 0.000 0.500
Au 0.333 0.667 0.247
Au 0.333 0.667 0.753
Ag 0.000 0.000 0.000

Calculated values
crystal system	hexagonal
calculated formation energy	0.00	eV/atom
spin magnetization	0.000	μB/atom